DFT (PBE-GGA) results for Pu2Ga2FeGe4 after structural relaxation.

Values from the calculation:
Magnetization = 10.3 μB/f.u.
Calculated total energy = -7.19 eV/atom

Unit cell a=6.1723 b=6.1723 c=8.5689 alpha=90.00 beta=90.00 gamma=90.00
With the nearest neighbours (Å) after each atom.
Space group I4/mmm (No. 139)
Inequivalent atoms, fractional coordinates:
Pu 0.0000 0.5000 0.2500 (multiplicity 4)  8 Ge 3.06, 4 Ga 3.10
Ga 0.0000 0.0000 0.2201 (multiplicity 4)  1 Fe 2.40
Fe 0.0000 0.0000 0.5000 (multiplicity 2)  4 Ge 2.38, 2 Ga 2.40
Ge 0.2273 0.2273 0.0000 (multiplicity 8)  1 Fe 2.38



DFT (PBE-GGA) results for Be2Cd2SnO6 after structural relaxation.

Values from the calculation:
Formation energy from raw total energies = -1647 meV/atom
Magnetization = 0.0 μB/f.u.

Unit cell a=5.2855 b=5.2855 c=5.6337 alpha=90.00 beta=90.00 gamma=120.00
With the nearest neighbours (Å) after each atom.
Space group P-3 (No. 147)
Inequivalent atoms, fractional coordinates:
Be 0.3333 0.6667 0.3132 (multiplicity 2)  3 O 1.54
Cd 0.3333 0.6667 0.8368 (multiplicity 2)  3 O 2.19
Sn 0.0000 0.0000 0.5000 (multiplicity 1)  6 O 2.10
O 0.0706 0.7162 0.2842 (multiplicity 6)  1 Be 1.54



DFT (PBE-GGA) results for Ce2Tm5In4 after structural relaxation.

Values from the calculation:
Magnetization = 2.4 μB/f.u.
Calculated total energy = -4.06 eV/atom

Unit cell a=3.4677 b=10.3525 c=18.1781 alpha=90.00 beta=90.00 gamma=90.00
With the nearest neighbours (Å) after each atom.
Space group Immm (No. 71)
Inequivalent atoms, fractional coordinates:
Ce 0.0000 0.0000 0.1704 (multiplicity 4)  8 Tm 3.45-3.58, 2 Ce 3.47
Tm 0.0000 0.3321 0.1862 (multiplicity 8)  3 In 3.15-3.46, 5 Tm 3.36-3.48, 1 Ce 3.45
Tm 0.0000 0.5000 0.5000 (multiplicity 2)  4 In 3.22, 2 Tm 3.47, 4 Ce 3.55
In 0.0000 0.0000 0.4224 (multiplicity 4)  1 In 2.82, 4 Tm 3.15
In 0.0000 0.2622 0.0000 (multiplicity 4)  4 Tm 3.22-3.46, 6 In 3.33-3.47



DFT (PBE-GGA) results for BeMoIr after structural relaxation.

Values from the calculation:
Magnetization = 0.0 μB/f.u.
Excess energy over the best structure of this formula in the dataset = 0.070 eV per atom

Unit cell a=4.0646 b=4.0646 c=2.7607 alpha=90.00 beta=90.00 gamma=120.00
With the nearest neighbours (Å) after each atom.
Space group P-6m2 (No. 187)
Inequivalent atoms, fractional coordinates:
Be 0.0000 0.0000 0.0000 (multiplicity 1)  3 Ir 2.35
Mo 0.3333 0.6667 0.5000 (multiplicity 1)  6 Be 2.72, 6 Ir 2.72, 2 Mo 2.76
Ir 0.6667 0.3333 0.0000 (multiplicity 1)  3 Be 2.35



DFT (PBE-GGA) results for ScHgI3 after structural relaxation.

Values from the calculation:
Formation energy from raw total energies = -884 meV/atom
Magnetization = 0.0 μB/f.u.
Excess energy over the best structure of this formula in the dataset = 0.089 eV per atom

Unit cell a=7.2728 b=7.4259 c=10.0417 alpha=100.95 beta=106.16 gamma=105.47
With the nearest neighbours (Å) after each atom.
Space group P1 (No. 1)
Inequivalent atoms, fractional coordinates:
Sc 0.0000 0.0000 0.0000 (multiplicity 1)  5 I 2.74-3.07, 1 Hg 3.03
Sc 0.2411 0.8303 0.6879 (multiplicity 1)  4 I 2.67-2.87, 1 Hg 2.95
Hg 0.2861 0.0213 0.4608 (multiplicity 1)  1 Sc 2.95, 1 I 3.23
Hg 0.8190 0.3197 0.0466 (multiplicity 1)  1 Sc 3.03
I 0.1566 0.1719 0.7899 (multiplicity 1)  2 Sc 2.84-2.99
I 0.1868 0.7163 0.9356 (multiplicity 1)  2 Sc 2.86-2.87
I 0.3313 0.2647 0.2301 (multiplicity 1)  1 Sc 2.77
I 0.6210 0.7904 0.7264 (multiplicity 1)  2 Sc 2.79-3.07
I 0.8056 0.8014 0.1539 (multiplicity 1)  1 Sc 2.74
I 0.9698 0.5123 0.4818 (multiplicity 1)  1 Sc 2.67



DFT (PBE-GGA) results for Na2Li2Hg after structural relaxation.

Values from the calculation:
Magnetization = 0.0 μB/f.u.
Excess energy over the best structure of this formula in the dataset = 0.130 eV per atom

Unit cell a=8.0142 b=8.0142 c=4.0846 alpha=90.00 beta=90.00 gamma=90.00
With the nearest neighbours (Å) after each atom.
Space group P4/mbm (No. 127)
Inequivalent atoms, fractional coordinates:
Na 0.1410 0.3590 0.0000 (multiplicity 4)  6 Li 2.99-3.21, 2 Hg 3.09, 1 Na 3.20
Li 0.1665 0.6665 0.5000 (multiplicity 4)  6 Na 2.99-3.21
Hg 0.0000 0.0000 0.0000 (multiplicity 2)  4 Na 3.09



DFT (PBE-GGA) results for IrPtN2 after structural relaxation.

Values from the calculation:
Formation energy from raw total energies = 621 meV/atom
Magnetization = 0.0 μB/f.u.
Excess energy over the best structure of this formula in the dataset = 0.000 eV per atom

Unit cell a=2.9943 b=2.9943 c=18.7099 alpha=90.00 beta=90.00 gamma=120.00
With the nearest neighbours (Å) after each atom.
Space group R-3m (No. 166, hexagonal axes)
Inequivalent atoms, fractional coordinates:
Ir 0.0000 0.0000 0.0000 (multiplicity 3)  6 N 2.07
Pt 0.0000 0.0000 0.5000 (multiplicity 3)  2 N 1.99
N 0.0000 0.0000 0.3937 (multiplicity 6)  1 Pt 1.99, 3 Ir 2.07



DFT (PBE-GGA) results for Li3TeF after structural relaxation.

Values from the calculation:
Formation energy from raw total energies = -1114 meV/atom
Magnetization = 0.0 μB/f.u.
Excess energy over the best structure of this formula in the dataset = 0.638 eV per atom

Unit cell a=5.1282 b=5.1282 c=5.1282 alpha=90.00 beta=90.00 gamma=90.00
With the nearest neighbours (Å) after each atom.
Space group Pm-3m (No. 221)
Inequivalent atoms, fractional coordinates:
Li 0.0000 0.0000 0.5000 (multiplicity 3)  2 Te 2.56
Te 0.0000 0.0000 0.0000 (multiplicity 1)  6 Li 2.56
F 0.5000 0.5000 0.5000 (multiplicity 1)  12 Li 3.63



DFT (PBE-GGA) results for Tl2TcPb after structural relaxation.

Values from the calculation:
Magnetization = 2.4 μB/f.u.
Excess energy over the best structure of this formula in the dataset = 0.323 eV per atom

Unit cell a=4.4531 b=4.4531 c=9.9360 alpha=90.00 beta=90.00 gamma=90.00
With the nearest neighbours (Å) after each atom.
Space group I4/mmm (No. 139)
Inequivalent atoms, fractional coordinates:
Tl 0.0000 0.5000 0.2500 (multiplicity 4)  4 Tl 3.15, 4 Pb 3.34, 4 Tc 3.34
Tc 0.0000 0.0000 0.0000 (multiplicity 2)  4 Pb 3.15, 8 Tl 3.34
Pb 0.0000 0.0000 0.5000 (multiplicity 2)  4 Tc 3.15, 8 Tl 3.34



DFT (PBE-GGA) results for Zr2TaW after structural relaxation.

Values from the calculation:
Magnetization = 0.0 μB/f.u.
Excess energy over the best structure of this formula in the dataset = 0.208 eV per atom

Unit cell a=9.7374 b=2.8313 c=5.7164 alpha=90.00 beta=90.42 gamma=90.00
With the nearest neighbours (Å) after each atom.
Space group Cm (No. 8)
Inequivalent atoms, fractional coordinates:
Zr 0.0000 0.0000 0.0000 (multiplicity 2)  5 Zr 2.83-3.17, 3 Ta 2.89-3.15, 2 W 3.13
Zr 0.2504 0.0000 0.7409 (multiplicity 2)  5 Zr 2.83-3.17, 3 W 2.84-3.16, 2 Ta 3.09
Ta 0.2462 0.5000 0.2598 (multiplicity 2)  1 W 2.73, 2 Ta 2.83, 1 Zr 2.89
W 0.0005 0.5000 0.4885 (multiplicity 2)  1 Ta 2.73, 2 W 2.83, 1 Zr 2.84



DFT (PBE-GGA) results for La2ZnSb2 after structural relaxation.

Values from the calculation:
Formation energy from raw total energies = -790 meV/atom
Magnetization = 0.0 μB/f.u.
Excess energy over the best structure of this formula in the dataset = 0.000 eV per atom

Unit cell a=8.2727 b=8.2727 c=4.3724 alpha=90.00 beta=90.00 gamma=90.00
With the nearest neighbours (Å) after each atom.
Space group P4/mbm (No. 127)
Inequivalent atoms, fractional coordinates:
La 0.1554 0.3446 0.0000 (multiplicity 4)  6 Sb 3.12-3.37
Zn 0.0000 0.0000 0.5000 (multiplicity 2)  4 Sb 3.13
Sb 0.1538 0.6538 0.5000 (multiplicity 4)  6 La 3.12-3.37, 2 Zn 3.13



DFT (PBE-GGA) results for MnCd2Te after structural relaxation.

Values from the calculation:
Formation energy from raw total energies = 131 meV/atom
Magnetization = 4.4 μB/f.u.

Unit cell a=7.1503 b=4.4089 c=7.0636 alpha=90.00 beta=112.93 gamma=90.00
With the nearest neighbours (Å) after each atom.
Space group Cm (No. 8)
Inequivalent atoms, fractional coordinates:
Mn 0.0000 0.0000 0.0000 (multiplicity 2)  3 Te 2.76-2.77, 3 Cd 2.87-2.90
Cd 0.0190 0.5000 0.5269 (multiplicity 2)  3 Cd 2.92-2.98, 1 Te 3.26
Cd 0.2614 0.0000 0.7720 (multiplicity 2)  3 Mn 2.87-2.90, 3 Cd 2.92-2.98
Te 0.2302 0.5000 0.1922 (multiplicity 2)  3 Mn 2.76-2.77



Question: magnetization of number 12 (MnCd2Te)?
Answer: 4.4 μB/f.u.



Question: The highest magnetization belongs to which entry?
Answer: Pu2Ga2FeGe4